1.
## ScOs3 (GGA-PBE)

Data for ScOs3 after structural relaxation.

Properties
- crystal system = tetragonal
- E (eV per atom) = -9.88
- space-group type = P4/mmm, No. 123
- E_form (meV/atom) = 123.2
- mass density (g cm⁻³) = 16.613
- DOS at the Fermi energy (states/eV per cell) = 5.2

Unit cell a=4.5463 b=4.5463 c=2.9773 alpha=90.00 beta=90.00 gamma=90.00
Closest atoms and distances in Å follow each position.
Fractional coordinates of all 4 atoms:
Os 0.0000 0.0000 0.0000  6 Os 2.72-2.98, 4 Sc 2.72
Os 0.5000 0.0000 0.5000  10 Os 2.72-2.98
Os 0.5000 0.5000 0.0000  6 Os 2.72-2.98, 4 Sc 2.72
Sc 0.0000 0.5000 0.5000  8 Os 2.72, 2 Sc 2.98

2.
## ScOs3 (GGA-PBE)

Data for ScOs3 after structural relaxation.

Properties
- crystal system = hexagonal
- E (eV per atom) = -9.93
- space-group type = P-6m2, No. 187
- E_form (meV/atom) = 73.7
- mass density (g cm⁻³) = 16.510
- DOS at the Fermi energy (states/eV per cell) = 2.7

Unit cell a=2.8165 b=2.8165 c=9.0132 alpha=90.00 beta=90.00 gamma=120.00
Closest atoms and distances in Å follow each position.
Fractional coordinates of all 4 atoms:
Os 0.0000 0.0000 0.0165  9 Os 2.66-2.82, 3 Sc 2.90
Os 0.0000 0.0000 0.4835  9 Os 2.66-2.82, 3 Sc 2.90
Os 0.3333 0.6667 0.2500  12 Os 2.66-2.82
Sc 0.3333 0.6667 0.7500  6 Sc 2.82, 6 Os 2.90

3.
## ScOs3 (GGA-PBE)

Data for ScOs3 after structural relaxation.

Properties
- crystal system = tetragonal
- E (eV per atom) = -9.90
- space-group type = I4/mmm, No. 139
- E_form (meV/atom) = 108.5
- mass density (g cm⁻³) = 16.590
- DOS at the Fermi energy (states/eV per cell) = 5.7

Unit cell a=4.8676 b=4.8676 c=4.8676 alpha=132.44 beta=132.44 gamma=69.54
Closest atoms and distances in Å follow each position.
Fractional coordinates of all 4 atoms:
Sc 0.0000 0.0000 0.0000  12 Os 2.78-2.80
Os 0.7500 0.2500 0.5000  8 Os 2.78-2.80, 4 Sc 2.80
Os 0.2500 0.7500 0.5000  8 Os 2.78-2.80, 4 Sc 2.80
Os 0.5000 0.5000 0.0000  4 Sc 2.78, 8 Os 2.80

4.
## ScOs2 (GGA-PBE)

Data for ScOs2 after structural relaxation.

Properties
- crystal system = tetragonal
- E (eV per atom) = -9.25
- space-group type = P4/mmm, No. 123
- E_form (meV/atom) = 348.7
- mass density (g cm⁻³) = 12.173
- DOS at the Fermi energy (states/eV per cell) = 3.5

Unit cell a=3.5861 b=3.5861 c=4.5124 alpha=90.00 beta=90.00 gamma=90.00
Closest atoms and distances in Å follow each position.
Fractional coordinates of all 3 atoms:
Os 0.0000 0.5000 0.5000  4 Os 2.54
Os 0.5000 0.0000 0.5000  4 Os 2.54
Sc 0.0000 0.0000 0.0000  8 Os 2.88

5.
## Sc3Os (GGA-PBE)

Data for Sc3Os after structural relaxation.

Properties
- crystal system = hexagonal
- E (eV per atom) = -7.73
- space-group type = P6_3/mmc, No. 194
- E_form (meV/atom) = -172.9
- mass density (g cm⁻³) = 6.878
- DOS at the Fermi energy (states/eV per cell) = 8.4

Unit cell a=4.6560 b=6.2396 c=6.2396 alpha=120.00 beta=90.00 gamma=90.00
Closest atoms and distances in Å follow each position.
Fractional coordinates of all 8 atoms:
Sc 0.7500 0.8245 0.1755  4 Os 2.89-3.12, 6 Sc 2.95-3.00
Sc 0.7500 0.3510 0.1755  4 Os 2.89-3.12, 6 Sc 2.95-3.00
Sc 0.7500 0.8245 0.6490  4 Os 2.89-3.12, 6 Sc 2.95-3.00
Sc 0.2500 0.1755 0.8245  4 Os 2.89-3.12, 6 Sc 2.95-3.00
Sc 0.2500 0.6490 0.8245  4 Os 2.89-3.12, 6 Sc 2.95-3.00
Sc 0.2500 0.1755 0.3510  4 Os 2.89-3.12, 6 Sc 2.95-3.00
Os 0.2500 0.6667 0.3333  12 Sc 2.89-3.12
Os 0.7500 0.3333 0.6667  12 Sc 2.89-3.12

6.
## ScOs3 (GGA-PBE)

Data for ScOs3 after structural relaxation.

Properties
- crystal system = cubic
- E (eV per atom) = -9.63
- space-group type = Pm-3n, No. 223
- E_form (meV/atom) = 377.3
- mass density (g cm⁻³) = 16.141
- DOS at the Fermi energy (states/eV per cell) = 9.6

Unit cell a=5.0222 b=5.0222 c=5.0222 alpha=90.00 beta=90.00 gamma=90.00
Closest atoms and distances in Å follow each position.
Fractional coordinates of all 8 atoms:
Sc 0.0000 0.0000 0.0000  12 Os 2.81
Sc 0.5000 0.5000 0.5000  12 Os 2.81
Os 0.0000 0.2500 0.5000  2 Os 2.51, 4 Sc 2.81
Os 0.0000 0.7500 0.5000  2 Os 2.51, 4 Sc 2.81
Os 0.2500 0.5000 0.0000  2 Os 2.51, 4 Sc 2.81
Os 0.5000 0.0000 0.2500  2 Os 2.51, 4 Sc 2.81
Os 0.5000 0.0000 0.7500  2 Os 2.51, 4 Sc 2.81
Os 0.7500 0.5000 0.0000  2 Os 2.51, 4 Sc 2.81

7.
## Sc3Os (GGA-PBE)

Data for Sc3Os after structural relaxation.

Properties
- crystal system = hexagonal
- E (eV per atom) = -7.58
- space-group type = P-6m2, No. 187
- E_form (meV/atom) = -22.8
- mass density (g cm⁻³) = 6.399
- DOS at the Fermi energy (states/eV per cell) = 3.0

Unit cell a=3.2266 b=3.2266 c=9.3566 alpha=90.00 beta=90.00 gamma=120.00
Closest atoms and distances in Å follow each position.
Fractional coordinates of all 4 atoms:
Os 0.0000 0.0000 0.0000  6 Sc 2.70
Sc 0.0000 0.0000 0.5000  12 Sc 3.23-3.30
Sc 0.3333 0.6667 0.2091  3 Os 2.70
Sc 0.3333 0.6667 0.7909  3 Os 2.70

8.
## ScOs2 (GGA-PBE)

Data for ScOs2 after structural relaxation.

Properties
- crystal system = hexagonal
- E (eV per atom) = -9.96
- space-group type = P6_3/mmc, No. 194
- E_form (meV/atom) = -358.2
- mass density (g cm⁻³) = 14.026
- DOS at the Fermi energy (states/eV per cell) = 22.0

Unit cell a=5.2121 b=5.2121 c=17.1266 alpha=90.00 beta=90.00 gamma=60.00
Closest atoms and distances in Å follow each position.
Fractional coordinates of all 24 atoms:
Os 0.3333 0.3333 0.1271  6 Os 2.62-2.65
Os 0.6667 0.6667 0.8729  6 Os 2.62-2.65
Os 0.6667 0.6667 0.6271  6 Os 2.62-2.65
Os 0.3333 0.3333 0.3729  6 Os 2.62-2.65
Os 0.5000 0.5000 0.0000  6 Os 2.61-2.65
Os 0.0000 0.5000 0.0000  6 Os 2.61-2.65
Os 0.5000 0.0000 0.0000  6 Os 2.61-2.65
Os 0.5000 0.5000 0.5000  6 Os 2.61-2.65
Os 0.0000 0.5000 0.5000  6 Os 2.61-2.65
Os 0.5000 0.0000 0.5000  6 Os 2.61-2.65
Os 0.1608 0.1608 0.2500  6 Os 2.51-2.70
Os 0.6785 0.1608 0.2500  6 Os 2.51-2.70
Os 0.1608 0.6785 0.2500  6 Os 2.51-2.70
Os 0.8392 0.8392 0.7500  6 Os 2.51-2.70
Os 0.3215 0.8392 0.7500  6 Os 2.51-2.70
Os 0.8392 0.3215 0.7500  6 Os 2.51-2.70
Sc 0.0000 0.0000 0.0910  12 Os 3.04-3.09, 4 Sc 3.12-3.21
Sc 0.0000 0.0000 0.9090  12 Os 3.04-3.09, 4 Sc 3.12-3.21
Sc 0.0000 0.0000 0.5910  12 Os 3.04-3.09, 4 Sc 3.12-3.21
Sc 0.0000 0.0000 0.4090  12 Os 3.04-3.09, 4 Sc 3.12-3.21
Sc 0.3333 0.3333 0.8442  12 Os 3.05-3.07, 4 Sc 3.21-3.23
Sc 0.6667 0.6667 0.1558  12 Os 3.05-3.07, 4 Sc 3.21-3.23
Sc 0.6667 0.6667 0.3442  12 Os 3.05-3.07, 4 Sc 3.21-3.23
Sc 0.3333 0.3333 0.6558  12 Os 3.05-3.07, 4 Sc 3.21-3.23

9.
## ScOs3 (GGA-PBE)

Data for ScOs3 after structural relaxation.

Properties
- crystal system = cubic
- E (eV per atom) = -6.60
- space-group type = Pm-3m, No. 221
- E_form (meV/atom) = 3407.0
- mass density (g cm⁻³) = 9.881
- DOS at the Fermi energy (states/eV per cell) = 4.9

Unit cell a=4.6945 b=4.6945 c=4.6945 alpha=90.00 beta=90.00 gamma=90.00
Closest atoms and distances in Å follow each position.
Fractional coordinates of all 4 atoms:
Os 0.5000 0.0000 0.0000  2 Sc 2.35
Os 0.0000 0.5000 0.0000  2 Sc 2.35
Os 0.0000 0.0000 0.5000  2 Sc 2.35
Sc 0.0000 0.0000 0.0000  6 Os 2.35

10.
## ScOs2Se (GGA-PBE)

Data for ScOs2Se after structural relaxation.

Properties
- crystal system = tetragonal
- E (eV per atom) = -7.64
- space-group type = I-42d, No. 122
- mass density (g cm⁻³) = 11.667
- DOS at the Fermi energy (states/eV per cell) = 11.5

Unit cell a=7.4889 b=7.4889 c=5.8818 alpha=50.46 beta=50.46 gamma=90.00
Closest atoms and distances in Å follow each position.
Fractional coordinates of all 8 atoms:
Sc 0.5000 0.5000 0.0000  2 Se 2.56
Sc 0.2500 0.7500 0.5000  2 Se 2.56
Os 0.6930 0.1250 0.2500  2 Se 2.40
Os 0.0570 0.6250 0.2500  2 Se 2.40
Os 0.3750 0.3070 0.7500  2 Se 2.40
Os 0.8750 0.9430 0.7500  2 Se 2.40
Se 0.0000 0.0000 0.0000  4 Os 2.40, 2 Sc 2.56
Se 0.7500 0.2500 0.5000  4 Os 2.40, 2 Sc 2.56

11.
## ScOs2Se (GGA-PBE)

Data for ScOs2Se after structural relaxation.

Properties
- crystal system = monoclinic
- E (eV per atom) = -8.15
- space-group type = Pm, No. 6
- mass density (g cm⁻³) = 12.834
- DOS at the Fermi energy (states/eV per cell) = 2.8

Unit cell a=3.9073 b=2.9835 c=5.7938 alpha=75.06 beta=90.00 gamma=90.00
Closest atoms and distances in Å follow each position.
Fractional coordinates of all 4 atoms:
Os 0.0000 0.7944 0.0388  6 Os 2.67-2.98, 2 Se 2.68, 1 Sc 2.71
Os 0.5000 0.2001 0.2256  6 Os 2.67-2.98, 1 Se 2.72, 4 Sc 2.97
Sc 0.0000 0.5504 0.5233  4 Se 2.68, 5 Os 2.71-2.97, 2 Sc 2.98
Se 0.5000 0.9552 0.7123  3 Os 2.68-2.72, 4 Sc 2.68, 2 Se 2.98

12.
## ScOsSe2 (GGA-PBE)

Data for ScOsSe2 after structural relaxation.

Properties
- crystal system = cubic
- E (eV per atom) = -5.87
- space-group type = F-43m, No. 216
- mass density (g cm⁻³) = 9.015
- DOS at the Fermi energy (states/eV per cell) = 4.1

Unit cell a=4.6785 b=4.6785 c=4.6785 alpha=60.00 beta=60.00 gamma=60.00
Closest atoms and distances in Å follow each position.
Fractional coordinates of all 4 atoms:
Os 0.5000 0.5000 0.5000  4 Se 2.87, 4 Sc 2.87
Sc 0.7500 0.7500 0.7500  4 Se 2.87, 4 Os 2.87
Se 0.0000 0.0000 0.0000  4 Se 2.87, 4 Sc 2.87
Se 0.2500 0.2500 0.2500  4 Se 2.87, 4 Os 2.87